Record 1
! CaTa3Pb SCAN PBEsol geometry; values from VASP
&SYSTEM
  ibrav = 0, nat = 5, ntyp = 3
/
ATOMIC_SPECIES
Ca 40.08 Ca.upf
Ta 180.95 Ta.upf
Pb 207.20 Pb.upf
CELL_PARAMETERS angstrom
5.1579 0.0000 0.0000
0.0000 5.1579 0.0000
0.0000 0.0000 5.1579
ATOMIC_POSITIONS angstrom
Ca 0.0000 0.0000 0.0000
Ta 0.0000 2.5790 2.5790
Ta 2.5790 0.0000 2.5790
Ta 2.5790 2.5790 0.0000
Pb 2.5790 2.5790 2.5790
! ΔH_f (0 K), eV per atom: 2.005
! Mass density, g/cm3: 9.561
! Space-group type: Pm-3m, No. 221

Record 2
! Sr2MgRhC SCAN PBEsol geometry; values from VASP
&SYSTEM
  ibrav = 0, nat = 5, ntyp = 4
/
ATOMIC_SPECIES
Sr 87.62 Sr.upf
Mg 24.30 Mg.upf
Rh 102.91 Rh.upf
C 12.01 C.upf
CELL_PARAMETERS angstrom
5.9237 0.0000 0.0000
0.0000 5.9237 0.0000
0.0000 0.0000 4.4579
ATOMIC_POSITIONS angstrom
Sr 0.0000 2.9619 0.0000
Sr 2.9619 0.0000 0.0000
Mg 0.0000 0.0000 0.0000
Rh 0.0000 0.0000 2.2289
C 2.9619 2.9619 2.2289
! ΔH_f (0 K), eV per atom: 1.389
! Mass density, g/cm3: 3.338
! Space-group type: P4/mmm, No. 123

Record 3
! CaYAl SCAN PBEsol geometry; values from VASP
&SYSTEM
  ibrav = 0, nat = 3, ntyp = 3
/
ATOMIC_SPECIES
Ca 40.08 Ca.upf
Y 88.91 Y.upf
Al 26.98 Al.upf
CELL_PARAMETERS angstrom
3.5638 0.0000 0.0000
-1.7819 3.0863 0.0000
0.0000 0.0000 7.8613
ATOMIC_POSITIONS angstrom
Ca 0.0000 0.0000 0.0000
Y 0.0000 2.0575 4.6373
Al 1.7819 1.0288 2.3871
! ΔH_f (0 K), eV per atom: -0.003
! Mass density, g/cm3: 2.995
! Energy above the lowest structure with this stoichiometry, meV/atom: 186
! Space-group type: P3m1, No. 156

Record 4
! CuSbSeN2 SCAN PBEsol geometry; values from VASP
&SYSTEM
  ibrav = 0, nat = 5, ntyp = 4
/
ATOMIC_SPECIES
Cu 63.55 Cu.upf
Sb 121.76 Sb.upf
Se 78.96 Se.upf
N 14.01 N.upf
CELL_PARAMETERS angstrom
3.8812 0.0000 0.0000
0.0000 3.8812 0.0000
0.0000 0.0000 5.7606
ATOMIC_POSITIONS angstrom
Cu 0.0000 0.0000 0.0000
Sb 1.9406 1.9406 2.8803
Se 1.9406 1.9406 0.0000
N 0.0000 1.9406 2.8803
N 1.9406 0.0000 2.8803
! Energy relative to the elements, uncorrected, eV per atom: 1.32
! Mass density, g/cm3: 5.593
! Space-group type: P4/mmm, No. 123

Record 5
! TmCo4Ge2 SCAN PBEsol geometry; values from VASP
&SYSTEM
  ibrav = 0, nat = 14, ntyp = 3
/
ATOMIC_SPECIES
Tm 168.93 Tm.upf
Co 58.93 Co.upf
Ge 72.64 Ge.upf
CELL_PARAMETERS angstrom
7.1081 0.0000 0.0000
0.0000 7.1081 0.0000
0.0000 0.0000 3.6371
ATOMIC_POSITIONS angstrom
Tm 0.0000 0.0000 0.0000
Tm 3.5541 3.5541 1.8185
Co 0.5756 2.5119 1.8185
Co 1.0421 4.1297 0.0000
Co 2.5119 0.5756 1.8185
Co 2.9785 6.0660 0.0000
Co 4.1297 1.0421 0.0000
Co 4.5962 6.5325 1.8185
Co 6.0660 2.9785 0.0000
Co 6.5325 4.5962 1.8185
Ge 1.5822 5.5260 1.8185
Ge 1.9719 1.9719 0.0000
Ge 5.1362 5.1362 0.0000
Ge 5.5260 1.5822 1.8185
! ΔH_f (0 K), eV per atom: -0.319
! Mass density, g/cm3: 9.939
! Space-group type: P4_2/mnm, No. 136

Record 6
! CsLaSiTc2 SCAN PBEsol geometry; values from VASP
&SYSTEM
  ibrav = 0, nat = 5, ntyp = 4
/
ATOMIC_SPECIES
Cs 132.91 Cs.upf
La 138.91 La.upf
Si 28.09 Si.upf
Tc 98.00 Tc.upf
CELL_PARAMETERS angstrom
4.8528 0.0000 0.0000
0.0000 4.8528 0.0000
0.0000 0.0000 5.3314
ATOMIC_POSITIONS angstrom
Cs 0.0000 0.0000 0.0000
La 2.4264 2.4264 2.6657
Si 0.0000 0.0000 2.6657
Tc 0.0000 2.4264 0.0000
Tc 2.4264 0.0000 0.0000
! Energy relative to the elements, uncorrected, eV per atom: 2.34
! Mass density, g/cm3: 6.559
! Space-group type: P4/mmm, No. 123

Record 7
! Ag3IrO4 SCAN PBEsol geometry; values from VASP
&SYSTEM
  ibrav = 0, nat = 32, ntyp = 3
/
ATOMIC_SPECIES
Ag 107.87 Ag.upf
Ir 192.22 Ir.upf
O 16.00 O.upf
CELL_PARAMETERS angstrom
7.3930 0.0000 0.0000
0.0000 7.3930 0.0000
0.0000 0.0000 7.8416
ATOMIC_POSITIONS angstrom
Ag 0.0000 1.4078 0.0000
Ag 0.0000 1.5413 3.9208
Ag 0.0000 5.8517 0.0000
Ag 0.0000 5.9852 3.9208
Ag 1.4078 0.0000 5.8812
Ag 1.4399 3.6965 1.9604
Ag 1.5413 0.0000 1.9604
Ag 3.6965 1.4399 3.9208
Ag 3.6965 5.9532 0.0000
Ag 5.8517 0.0000 5.8812
Ag 5.9532 3.6965 5.8812
Ag 5.9852 0.0000 1.9604
Ir 2.0117 3.6965 5.8812
Ir 3.6965 2.0117 0.0000
Ir 3.6965 5.3814 3.9208
Ir 5.3814 3.6965 1.9604
O 0.6040 2.3806 5.8069
O 0.6040 5.0124 5.9556
O 2.2820 3.4091 7.8087
O 2.2820 3.9840 3.9537
O 2.3806 0.6040 0.0743
O 2.3806 6.7891 3.8465
O 3.4091 2.2820 5.9141
O 3.4091 5.1110 5.8483
O 3.9840 2.2820 1.9275
O 3.9840 5.1110 1.9933
O 5.0124 0.6040 7.7673
O 5.0124 6.7891 3.9951
O 5.1110 3.4091 0.0329
O 5.1110 3.9840 3.8879
O 6.7891 2.3806 2.0347
O 6.7891 5.0124 1.8861
! Energy relative to the elements, uncorrected, eV per atom: -0.37
! Mass density, g/cm3: 8.986
! Space-group type: P4_122, No. 91

Record 8
! NaTeSeS2 SCAN PBEsol geometry; values from VASP
&SYSTEM
  ibrav = 0, nat = 5, ntyp = 4
/
ATOMIC_SPECIES
Na 22.99 Na.upf
Te 127.60 Te.upf
Se 78.96 Se.upf
S 32.06 S.upf
CELL_PARAMETERS angstrom
4.8792 0.0000 0.0000
0.0000 4.8792 0.0000
0.0000 0.0000 5.3570
ATOMIC_POSITIONS angstrom
Na 0.0000 0.0000 0.0000
Te 2.4396 2.4396 0.0000
Se 2.4396 2.4396 2.6785
S 0.0000 2.4396 2.6785
S 2.4396 0.0000 2.6785
! Energy relative to the elements, uncorrected, eV per atom: 0.13
! Mass density, g/cm3: 3.824
! Space-group type: P4/mmm, No. 123

Record 9
! Mg2Te SCAN PBEsol geometry; values from VASP
&SYSTEM
  ibrav = 0, nat = 3, ntyp = 2
/
ATOMIC_SPECIES
Mg 24.30 Mg.upf
Te 127.60 Te.upf
CELL_PARAMETERS angstrom
4.0038 0.0000 0.0000
0.0000 4.0038 0.0000
0.0000 0.0000 5.8086
ATOMIC_POSITIONS angstrom
Mg 0.0000 0.0000 0.0000
Mg 2.0019 2.0019 2.9043
Te 0.0000 0.0000 2.9043
! Energy relative to the elements, uncorrected, eV per atom: -0.12
! Mass density, g/cm3: 3.142
! Space-group type: P4/mmm, No. 123

Record 10
! Ba2MgIr SCAN PBEsol geometry; values from VASP
&SYSTEM
  ibrav = 0, nat = 4, ntyp = 3
/
ATOMIC_SPECIES
Ba 137.33 Ba.upf
Mg 24.30 Mg.upf
Ir 192.22 Ir.upf
CELL_PARAMETERS angstrom
0.0000 3.7557 3.7557
3.7557 0.0000 3.7557
3.7557 3.7557 0.0000
ATOMIC_POSITIONS angstrom
Ba 0.0000 0.0000 0.0000
Ba 1.8778 1.8778 1.8778
Mg 5.6335 5.6335 5.6335
Ir 3.7557 3.7557 3.7557
! ΔH_f (0 K), eV per atom: 0.211
! Mass density, g/cm3: 7.698
! Space-group type: F-43m, No. 216

Record 11
! AlZnGe2Ru SCAN PBEsol geometry; values from VASP
&SYSTEM
  ibrav = 0, nat = 5, ntyp = 4
/
ATOMIC_SPECIES
Al 26.98 Al.upf
Zn 65.41 Zn.upf
Ge 72.64 Ge.upf
Ru 101.07 Ru.upf
CELL_PARAMETERS angstrom
4.5658 0.0000 0.0000
0.0000 4.5658 0.0000
0.0000 0.0000 4.5222
ATOMIC_POSITIONS angstrom
Al 0.0000 0.0000 0.0000
Zn 0.0000 0.0000 2.2611
Ge 0.0000 2.2829 2.2611
Ge 2.2829 0.0000 2.2611
Ru 2.2829 2.2829 0.0000
! ΔH_f (0 K), eV per atom: 1.154
! Mass density, g/cm3: 5.967
! Space-group type: P4/mmm, No. 123

Record 12
! Cd2InTe SCAN PBEsol geometry; values from VASP
&SYSTEM
  ibrav = 0, nat = 4, ntyp = 3
/
ATOMIC_SPECIES
Cd 112.41 Cd.upf
In 114.82 In.upf
Te 127.60 Te.upf
CELL_PARAMETERS angstrom
3.9435 0.0000 0.0000
0.0000 3.9435 0.0000
0.0000 0.0000 6.4179
ATOMIC_POSITIONS angstrom
Cd 0.0000 0.0000 0.0000
Cd 1.9718 1.9718 1.3778
In 0.0000 0.0000 3.0929
Te 1.9718 1.9718 4.6517
! Energy relative to the elements, uncorrected, eV per atom: 0.05
! Mass density, g/cm3: 7.774
! Energy above the lowest structure with this stoichiometry, meV/atom: 1
! Space-group type: P4mm, No. 99

Record 13
! ZnAsN3 SCAN PBEsol geometry; values from VASP
&SYSTEM
  ibrav = 0, nat = 5, ntyp = 3
/
ATOMIC_SPECIES
Zn 65.41 Zn.upf
As 74.92 As.upf
N 14.01 N.upf
CELL_PARAMETERS angstrom
3.7255 0.0000 0.0000
0.0000 3.7255 0.0000
0.0000 0.0000 3.7255
ATOMIC_POSITIONS angstrom
Zn 0.0000 0.0000 0.0000
As 1.8628 1.8628 1.8628
N 0.0000 1.8628 1.8628
N 1.8628 0.0000 1.8628
N 1.8628 1.8628 0.0000
! Energy relative to the elements, uncorrected, eV per atom: 1.52
! Mass density, g/cm3: 5.856
! Space-group type: Pm-3m, No. 221

Record 14
! ZrNiAu2 SCAN PBEsol geometry; values from VASP
&SYSTEM
  ibrav = 0, nat = 4, ntyp = 3
/
ATOMIC_SPECIES
Zr 91.22 Zr.upf
Ni 58.69 Ni.upf
Au 196.97 Au.upf
CELL_PARAMETERS angstrom
-2.0300 2.0300 3.9164
2.0300 -2.0300 3.9164
2.0300 2.0300 -3.9164
ATOMIC_POSITIONS angstrom
Zr 0.0000 0.0000 0.0000
Ni 2.0300 0.0000 1.9582
Au 0.0000 0.0000 3.9164
Au 0.0000 2.0300 1.9582
! ΔH_f (0 K), eV per atom: -0.510
! Mass density, g/cm3: 13.990
! Space-group type: I-4m2, No. 119

Record 15
! ZrZn2Tc SCAN PBEsol geometry; values from VASP
&SYSTEM
  ibrav = 0, nat = 4, ntyp = 3
/
ATOMIC_SPECIES
Zr 91.22 Zr.upf
Zn 65.41 Zn.upf
Tc 98.00 Tc.upf
CELL_PARAMETERS angstrom
-1.9272 1.9272 4.1203
1.9272 -1.9272 4.1203
1.9272 1.9272 -4.1203
ATOMIC_POSITIONS angstrom
Zr 0.0000 0.0000 0.0000
Zn 1.9272 0.0000 2.0602
Zn 0.0000 1.9272 2.0602
Tc 0.0000 0.0000 4.1203
! ΔH_f (0 K), eV per atom: -0.299
! Mass density, g/cm3: 8.682
! Energy above the lowest structure with this stoichiometry, meV/atom: 0
! Space-group type: I4/mmm, No. 139

Record 16
! CrRh5 SCAN PBEsol geometry; values from VASP
&SYSTEM
  ibrav = 0, nat = 6, ntyp = 2
/
ATOMIC_SPECIES
Cr 52.00 Cr.upf
Rh 102.91 Rh.upf
CELL_PARAMETERS angstrom
2.6514 0.0000 0.0000
0.0000 2.6514 0.0000
0.0000 0.0000 11.1595
ATOMIC_POSITIONS angstrom
Cr 0.0000 0.0000 0.0000
Rh 0.0000 0.0000 3.7091
Rh 0.0000 0.0000 7.4504
Rh 1.3257 1.3257 1.7302
Rh 1.3257 1.3257 5.5797
Rh 1.3257 1.3257 9.4293
! ΔH_f (0 K), eV per atom: -0.041
! Mass density, g/cm3: 11.992
! Space-group type: P4/mmm, No. 123

Record 17
! TeOs2Se SCAN PBEsol geometry; values from VASP
&SYSTEM
  ibrav = 0, nat = 4, ntyp = 3
/
ATOMIC_SPECIES
Te 127.60 Te.upf
Os 190.23 Os.upf
Se 78.96 Se.upf
CELL_PARAMETERS angstrom
4.1144 -1.5369 0.0000
4.1144 1.5369 0.0000
-1.1504 0.0000 5.2616
ATOMIC_POSITIONS angstrom
Te 0.0000 0.0000 0.0000
Os 1.2149 0.0000 3.7831
Os 5.8636 0.0000 1.4785
Se 3.5392 0.0000 2.6308
! Energy relative to the elements, uncorrected, eV per atom: 0.79
! Mass density, g/cm3: 14.648
! Energy above the lowest structure with this stoichiometry, meV/atom: 0
! Space-group type: C2/m, No. 12

Record 18
! KTaAl SCAN PBEsol geometry; values from VASP
&SYSTEM
  ibrav = 0, nat = 3, ntyp = 3
/
ATOMIC_SPECIES
K 39.10 K.upf
Ta 180.95 Ta.upf
Al 26.98 Al.upf
CELL_PARAMETERS angstrom
2.9552 0.0000 0.0000
-1.4776 2.5592 0.0000
0.0000 0.0000 8.5249
ATOMIC_POSITIONS angstrom
K 0.0000 0.0000 0.0000
Ta 0.0000 1.7062 5.3334
Al 1.4776 0.8531 3.0512
! ΔH_f (0 K), eV per atom: 0.640
! Mass density, g/cm3: 6.362
! Space-group type: P3m1, No. 156

Record 19
! Fe3Pb4BrO8 SCAN PBEsol geometry; values from VASP
&SYSTEM
  ibrav = 0, nat = 16, ntyp = 4
/
ATOMIC_SPECIES
Fe 55.84 Fe.upf
Pb 207.20 Pb.upf
Br 79.90 Br.upf
O 16.00 O.upf
CELL_PARAMETERS angstrom
3.8884 0.0000 0.0000
0.0000 3.8884 0.0000
0.0000 0.0000 15.1466
ATOMIC_POSITIONS angstrom
Fe 0.0000 0.0000 0.0000
Fe 0.0000 0.0000 3.7681
Fe 0.0000 0.0000 11.3786
Pb 1.9442 1.9442 1.7457
Pb 1.9442 1.9442 5.6040
Pb 1.9442 1.9442 9.5426
Pb 1.9442 1.9442 13.4009
Br 0.0000 0.0000 7.5733
O 0.0000 0.0000 1.9031
O 0.0000 0.0000 13.2435
O 0.0000 1.9442 0.0000
O 0.0000 1.9442 4.1820
O 0.0000 1.9442 10.9646
O 1.9442 0.0000 0.0000
O 1.9442 0.0000 4.1820
O 1.9442 0.0000 10.9646
! Energy relative to the elements, uncorrected, eV per atom: -1.32
! Mass density, g/cm3: 8.732
! Space-group type: P4/mmm, No. 123

Record 20
! AlP2PtS SCAN PBEsol geometry; values from VASP
&SYSTEM
  ibrav = 0, nat = 5, ntyp = 4
/
ATOMIC_SPECIES
Al 26.98 Al.upf
P 30.97 P.upf
Pt 195.08 Pt.upf
S 32.06 S.upf
CELL_PARAMETERS angstrom
4.5352 0.0000 0.0000
0.0000 4.5352 0.0000
0.0000 0.0000 4.9577
ATOMIC_POSITIONS angstrom
Al 0.0000 0.0000 0.0000
P 0.0000 2.2676 2.4788
P 2.2676 0.0000 2.4788
Pt 2.2676 2.2676 2.4788
S 2.2676 2.2676 0.0000
! Energy relative to the elements, uncorrected, eV per atom: 0.74
! Mass density, g/cm3: 5.147
! Space-group type: P4/mmm, No. 123